The following is a PBE calculation of an optimized crystal structure of MnCr2Mo, from Alexandria via LeMat-Bulk.

abc: 2.9035 2.9035 5.9309
angles: 90.00 90.00 90.00
Closest atoms and distances in Å follow each position.
Space group P4mm (No. 99)
Inequivalent atoms, fractional coordinates:
Mn 0.0000 0.0000 0.0000 x1  5 Cr 2.49-2.75, 4 Mo 2.59
Cr 0.0000 0.0000 0.5362 x1  4 Cr 2.45, 4 Mo 2.61
Cr 0.5000 0.5000 0.7629 x1  4 Cr 2.45, 4 Mn 2.49
Mo 0.5000 0.5000 0.2653 x1  4 Mn 2.59, 4 Cr 2.61

Total energy   -9.72 eV per atom
Polymorph energy (0 for the lowest one)   0 meV/atom
ΔH_f (0 K)   8.5 kJ per mole of atoms